Record 1
The following is a DFT calculation (PBE) of a relaxed structure of MgPa2F8.

```
11
Lattice="5.424 -2.399 0.000 5.424 2.399 0.000 -1.810 0.000 6.247" Properties=species:S:1:pos:R:3 pbc="T T T"
Mg 0.000 0.000 0.000
Pa 0.810 0.000 4.039
Pa 8.228 0.000 2.208
F 4.033 1.196 0.777
F 1.112 0.000 1.675
F 5.005 1.196 5.471
F 3.055 0.000 3.277
F 5.983 0.000 2.970
F 4.033 -1.196 0.777
F 7.926 0.000 4.572
F 5.005 -1.196 5.471
```

Output
ΔE_f (raw)	-35.50	eV/f.u.
E_tot	-71.1	eV/cell

***

Record 2
The following is a DFT calculation (PBE) of a relaxed structure of Mg3PaTl2F12.

```
18
Lattice="3.774 2.179 5.514 -3.774 2.179 5.514 0.000 -4.357 5.514" Properties=species:S:1:pos:R:3 pbc="T T T"
Mg -1.887 -1.089 5.514
Mg -1.887 1.089 11.029
Mg 0.000 2.179 5.514
Pa 0.000 0.000 8.272
Tl 0.000 0.000 1.797
Tl 0.000 0.000 14.746
F -1.917 -1.107 7.543
F 0.000 -1.565 5.861
F -1.356 0.783 5.861
F 0.000 -2.214 9.001
F -1.917 1.107 9.001
F -1.356 -0.783 10.683
F 1.356 0.783 5.860
F 1.917 -1.107 7.543
F 0.000 2.214 7.543
F 1.356 -0.783 10.683
F 0.000 1.565 10.683
F 1.917 1.107 9.001
```

Output
ΔE_f (raw)	-57.64	eV/f.u.
E_tot	-99.1	eV/cell

***

Record 3
The following is a DFT calculation (PBE) of a relaxed structure of Mg3PbF.

```
5
Lattice="4.653 0.000 0.000 0.000 4.653 0.000 0.000 0.000 4.653" Properties=species:S:1:pos:R:3 pbc="T T T"
Mg 0.000 0.000 2.326
Mg 0.000 2.326 0.000
Mg 2.326 0.000 0.000
Pb 2.326 2.326 2.326
F 0.000 0.000 0.000
```

Output
offset from the most stable computed form	0.000	eV per atom
ΔE_f (raw)	-4.06	eV/f.u.
E_tot	-14.4	eV/cell

***

Record 4
The following is a DFT calculation (PBE) of a relaxed structure of MgPb2F.

```
4
Lattice="0.000 3.581 3.581 3.581 0.000 3.581 3.581 3.581 0.000" Properties=species:S:1:pos:R:3 pbc="T T T"
Mg 0.000 0.000 0.000
Pb 1.791 1.791 1.791
Pb 5.372 5.372 5.372
F 3.581 3.581 3.581
```

Output
offset from the most stable computed form	0.000	eV per atom
ΔE_f (raw)	-2.16	eV/f.u.
E_tot	-13.0	eV/cell

***

Record 5
The following is a DFT calculation (PBE) of a relaxed structure of MgPb2F5.

```
8
Lattice="0.000 3.917 4.821 3.907 0.000 4.821 3.907 3.917 0.000" Properties=species:S:1:pos:R:3 pbc="T T T"
Mg 0.000 0.000 0.000
Pb 1.954 1.958 2.085
Pb 5.861 5.875 6.906
F 3.907 1.887 5.349
F 5.930 3.917 5.357
F 3.907 3.917 7.725
F 3.907 5.947 5.349
F 1.884 3.917 5.357
```

Output
ΔE_f (raw)	-19.22	eV/f.u.
E_tot	-37.6	eV/cell

***

Record 6
The following is a DFT calculation (PBE) of a relaxed structure of MgPbF2.

```
4
Lattice="0.000 3.268 3.268 3.268 0.000 3.268 3.268 3.268 0.000" Properties=species:S:1:pos:R:3 pbc="T T T"
Mg 0.000 0.000 0.000
Pb 3.268 3.268 3.268
F 1.634 1.634 1.634
F 4.902 4.902 4.902
```

Output
offset from the most stable computed form	1.009	eV per atom
ΔE_f (raw)	-5.77	eV/f.u.
E_tot	-14.8	eV/cell

***

Record 7
The following is a DFT calculation (PBE) of a relaxed structure of Mg3Pb2F10.

```
30
Lattice="9.406 -2.962 0.000 9.406 2.962 0.000 -2.800 0.000 7.058" Properties=species:S:1:pos:R:3 pbc="T T T"
Mg 9.406 1.500 0.000
Mg 3.263 0.000 6.883
Mg 6.502 0.000 3.804
Mg 9.509 0.000 3.254
Mg 12.748 0.000 0.176
Mg 9.406 -1.500 0.000
Pb 0.097 0.000 5.045
Pb 2.949 0.000 2.292
Pb 13.062 0.000 4.766
Pb 15.915 0.000 2.013
F 4.703 1.481 0.000
F -0.354 0.000 1.287
F 5.252 1.522 3.762
F 4.602 1.509 6.723
F 2.963 0.000 4.914
F 8.006 1.368 3.529
F 11.409 1.509 0.336
F 6.276 0.000 1.803
F 10.759 1.522 3.296
F 6.762 0.000 5.756
F 4.703 -1.481 0.000
F 9.249 0.000 1.303
F 5.252 -1.522 3.762
F 9.735 0.000 5.255
F 4.602 -1.509 6.723
F 8.006 -1.368 3.529
F 13.048 0.000 2.144
F 11.409 -1.509 0.336
F 10.759 -1.522 3.296
F 16.365 0.000 5.771
```

Output
ΔE_f (raw)	-45.72	eV/f.u.
E_tot	-153.3	eV/cell

***

Record 8
The following is a DFT calculation (PBE) of a relaxed structure of MgPbF2.

```
4
Lattice="1.708 0.986 7.902 -1.708 0.986 7.902 0.000 -1.973 7.902" Properties=species:S:1:pos:R:3 pbc="T T T"
Mg 0.000 0.000 0.000
Pb 0.000 0.000 11.853
F 0.000 0.000 1.886
F 0.000 0.000 21.820
```

Output
offset from the most stable computed form	0.652	eV per atom
ΔE_f (raw)	-7.20	eV/f.u.
E_tot	-16.2	eV/cell

***

Record 9
The following is a DFT calculation (PBE) of a relaxed structure of MgPb2F6.

```
18
Lattice="5.692 0.000 0.000 0.000 6.574 0.000 -5.027 0.000 7.969" Properties=species:S:1:pos:R:3 pbc="T T T"
Mg 0.000 0.000 0.000
Mg -2.513 3.287 3.984
Pb -2.187 0.531 5.969
Pb 0.327 2.756 1.985
Pb 0.338 3.818 5.984
Pb 2.852 6.043 1.999
F -0.636 0.423 1.842
F -3.149 2.864 5.826
F 0.810 4.827 0.634
F -1.704 5.033 4.619
F 1.756 0.912 0.322
F -0.758 2.374 4.307
F 1.423 4.199 3.662
F -1.090 5.661 7.646
F 2.369 1.540 3.350
F -0.144 1.746 7.335
F 3.814 3.710 2.142
F 1.301 6.151 6.127
```

Output
offset from the most stable computed form	0.000	eV per atom
ΔE_f (raw)	-24.68	eV/f.u.
E_tot	-89.8	eV/cell

***

Record 10
The following is a DFT calculation (PBE) of a relaxed structure of MgPbF6.

```
16
Lattice="5.227 0.000 0.000 -2.614 4.527 0.000 0.000 0.000 9.665" Properties=species:S:1:pos:R:3 pbc="T T T"
Mg 0.000 0.000 0.000
Mg 0.000 0.000 4.832
Pb 0.000 3.018 2.416
Pb 2.614 1.509 7.248
F -0.718 1.477 1.172
F -1.693 3.167 3.660
F 0.718 1.477 3.660
F -0.975 4.410 1.172
F 1.638 0.117 6.005
F 0.921 1.360 8.492
F 1.693 3.167 1.172
F 0.975 4.410 3.660
F 3.589 0.117 8.492
F 1.896 3.050 6.005
F 4.307 1.360 6.005
F 3.332 3.050 8.492
```

Output
ΔE_f (raw)	-20.26	eV/f.u.
E_tot	-73.6	eV/cell

***

Record 11
The following is a DFT calculation (PBE) of a relaxed structure of Mg2PbF6.

```
9
Lattice="5.353 0.000 0.000 -2.676 4.636 0.000 0.000 0.000 5.258" Properties=species:S:1:pos:R:3 pbc="T T T"
Mg 0.000 3.090 0.000
Mg 2.676 1.545 0.000
Pb 0.000 0.000 2.629
F -0.990 1.715 1.092
F -1.686 2.921 4.166
F 1.980 0.000 1.092
F 0.990 1.715 4.166
F 3.372 0.000 4.166
F 1.686 2.921 1.092
```

Output
ΔE_f (raw)	-28.44	eV/f.u.
E_tot	-46.6	eV/cell

***

Record 12
The following is a DFT calculation (PBE) of a relaxed structure of MgPbF2.

```
8
Lattice="-3.003 3.003 4.500 3.003 -3.003 4.500 3.003 3.003 -4.500" Properties=species:S:1:pos:R:3 pbc="T T T"
Mg 3.003 1.501 1.125
Mg 0.000 1.501 3.375
Pb 3.003 -1.501 3.375
Pb 0.000 4.504 1.125
F 3.003 0.000 0.000
F -1.501 1.501 2.250
F 0.000 0.000 4.500
F 1.501 1.501 2.250
```

Output
offset from the most stable computed form	0.225	eV per atom
ΔE_f (raw)	-8.90	eV/f.u.
E_tot	-35.9	eV/cell

***

Record 13
The following is a DFT calculation (PBE) of a relaxed structure of Mg3PbF.

```
5
Lattice="5.550 0.000 0.000 0.000 5.550 0.000 0.000 0.000 5.550" Properties=species:S:1:pos:R:3 pbc="T T T"
Mg 0.000 0.000 2.775
Mg 0.000 2.775 0.000
Mg 2.775 0.000 0.000
Pb 0.000 0.000 0.000
F 2.775 2.775 2.775
```

Output
offset from the most stable computed form	0.721	eV per atom
ΔE_f (raw)	-0.46	eV/f.u.
E_tot	-10.8	eV/cell

***

Record 14
The following is a DFT calculation (PBE) of a relaxed structure of Mg6Pb4F19.

```
29
Lattice="-4.715 4.715 4.715 4.715 -4.715 4.715 4.715 4.715 -4.715" Properties=species:S:1:pos:R:3 pbc="T T T"
Mg 4.715 0.000 1.528
Mg 4.715 3.187 0.000
Mg 1.528 4.715 0.000
Mg 3.187 0.000 4.715
Mg 0.000 1.528 4.715
Mg 0.000 4.715 3.187
Pb 3.209 3.209 -3.209
Pb 3.209 -3.209 3.209
Pb 1.506 1.506 1.506
Pb -3.209 3.209 3.209
F 0.000 0.000 0.000
F 3.369 0.000 0.000
F 6.061 0.000 0.000
F 4.832 1.987 -1.583
F 3.132 -0.117 2.728
F 6.298 0.117 2.728
F 2.728 3.132 -0.117
F 1.987 -1.583 4.832
F 0.000 3.369 0.000
F 0.000 0.000 3.369
F 4.598 1.987 1.583
F -0.117 2.728 3.132
F 0.000 6.061 0.000
F 0.000 0.000 6.061
F 1.987 1.583 4.598
F 2.728 6.298 0.117
F 1.583 4.598 1.987
F -1.583 4.832 1.987
F 0.117 2.728 6.298
```

Output
ΔE_f (raw)	-86.70	eV/f.u.
E_tot	-146.7	eV/cell

***

Record 15
The following is a DFT calculation (PBE) of a relaxed structure of Mg2Pb5F12.

```
19
Lattice="7.153 -3.093 0.000 7.153 3.093 0.000 -3.095 0.000 7.564" Properties=species:S:1:pos:R:3 pbc="T T T"
Mg 7.153 1.590 0.000
Mg 7.153 -1.590 0.000
Pb -1.547 0.000 3.782
Pb 2.432 0.000 4.439
Pb 3.974 0.000 0.969
Pb 7.236 0.000 6.595
Pb 8.778 0.000 3.124
F -0.448 0.000 1.292
F 2.132 1.507 6.944
F 4.079 1.465 2.845
F 7.131 1.465 4.718
F 9.079 1.507 0.620
F 4.525 0.000 6.314
F 6.685 0.000 1.250
F 2.132 -1.507 6.944
F 4.079 -1.465 2.845
F 7.131 -1.465 4.718
F 9.079 -1.507 0.620
F 11.658 0.000 6.272
```

Output
ΔE_f (raw)	-47.08	eV/f.u.
E_tot	-91.3	eV/cell

***

Record 16
The following is a DFT calculation (PBE) of a relaxed structure of MgPb2F6.

```
18
Lattice="5.737 0.000 0.000 0.000 5.737 0.000 0.000 0.000 8.267" Properties=species:S:1:pos:R:3 pbc="T T T"
Mg 0.000 0.000 0.000
Mg 2.869 2.869 4.133
Pb 0.000 2.869 2.067
Pb 0.000 2.869 6.200
Pb 2.869 0.000 2.067
Pb 2.869 0.000 6.200
F 0.000 0.000 1.974
F 0.000 0.000 6.293
F 0.923 1.747 0.000
F 1.122 1.946 4.133
F 1.747 4.814 0.000
F 1.946 4.616 4.133
F 2.869 2.869 2.159
F 2.869 2.869 6.108
F 3.792 1.122 4.133
F 3.991 0.923 0.000
F 4.616 3.792 4.133
F 4.814 3.991 0.000
```

Output
offset from the most stable computed form	0.083	eV per atom
ΔE_f (raw)	-23.93	eV/f.u.
E_tot	-88.3	eV/cell

***

Record 17
The following is a DFT calculation (PBE) of a relaxed structure of MgPbF2.

```
4
Lattice="1.598 0.922 9.323 -1.598 0.922 9.323 0.000 -1.845 9.323" Properties=species:S:1:pos:R:3 pbc="T T T"
Mg 0.000 0.000 0.000
Pb 0.000 0.000 13.985
F 0.000 0.000 10.233
F 0.000 0.000 17.737
```

Output
offset from the most stable computed form	0.000	eV per atom
ΔE_f (raw)	-9.80	eV/f.u.
E_tot	-18.8	eV/cell

***

Record 18
The following is a DFT calculation (PBE) of a relaxed structure of MgPb2F11.

```
28
Lattice="-4.256 4.986 5.246 4.256 -4.986 5.246 4.256 4.986 -5.246" Properties=species:S:1:pos:R:3 pbc="T T T"
Mg 0.000 0.000 2.623
Mg 0.000 0.000 7.869
Pb 5.487 2.150 0.000
Pb 1.231 2.836 0.000
Pb 3.025 2.150 5.246
Pb -1.231 2.836 5.246
F 4.256 0.000 0.000
F 4.958 -3.665 3.874
F 2.259 -1.095 1.569
F 3.281 1.876 0.000
F 4.958 3.665 -1.372
F 1.998 3.891 -1.569
F 6.254 1.095 1.569
F 0.702 1.321 1.372
F 3.281 -1.876 5.246
F 2.259 1.095 3.676
F 4.958 3.665 1.372
F 0.000 4.986 0.000
F -0.702 1.321 3.874
F 1.998 3.891 1.569
F 0.976 6.862 0.000
F 3.554 3.665 3.874
F -1.998 3.891 3.676
F 2.259 1.095 6.815
F -0.702 1.321 6.618
F 0.976 3.110 5.246
F 1.998 6.081 3.676
F -0.702 8.651 1.372
```

Output
ΔE_f (raw)	-28.02	eV/f.u.
E_tot	-115.2	eV/cell

***

Record 19
The following is a DFT calculation (PBE) of a relaxed structure of MgPb2F.

```
8
Lattice="-2.693 2.693 8.128 2.693 -2.693 8.128 2.693 2.693 -8.128" Properties=species:S:1:pos:R:3 pbc="T T T"
Mg 0.000 0.000 0.000
Mg 0.000 2.693 4.064
Pb 1.347 -0.831 6.096
Pb 1.863 1.347 2.032
Pb 1.347 3.524 -2.032
Pb 0.831 1.347 10.160
F 2.693 0.000 4.064
F 0.000 0.000 8.128
```

Output
offset from the most stable computed form	0.027	eV per atom
ΔE_f (raw)	-2.05	eV/f.u.
E_tot	-25.9	eV/cell